# 1
Entry from the Alexandria database: a relaxed NdAg6 crystal (PBE).

Excess energy over the best structure of this formula in the dataset in meV/atom: 668.4
Formation energy from the elements in eV per atom: 0.547

Unit cell a=7.3446 b=7.3446 c=7.3446 alpha=90.00 beta=90.00 gamma=90.00
Space group Im-3m (No. 229)
Symmetry-distinct sites (fractional):
Nd 0.0000 0.0000 0.0000 (multiplicity 2)
Ag 0.0000 0.2500 0.5000 (multiplicity 12)

=====

# 2
Entry from the Alexandria database: a relaxed KThAgBr6 crystal (PBE).

Formation energy without anion corrections in eV per atom: -1.439

Unit cell a=7.3791 b=7.3791 c=14.8624 alpha=90.00 beta=90.00 gamma=120.00
Space group P-31c (No. 163)
Symmetry-distinct sites (fractional):
K 0.0000 0.0000 0.0000 (multiplicity 2)
Th 0.3333 0.6667 0.2500 (multiplicity 2)
Ag 0.3333 0.6667 0.7500 (multiplicity 2)
Br 0.0074 0.3647 0.1375 (multiplicity 12)

=====

# 3
Entry from the Alexandria database: a relaxed K3Na3CaCl8 crystal (PBE).

Formation energy without anion corrections in eV per atom: -1.982

Unit cell a=14.4302 b=8.3224 c=8.7180 alpha=90.00 beta=123.50 gamma=90.00
Space group C2/m (No. 12)
Symmetry-distinct sites (fractional):
K 0.0000 0.0000 0.0000 (multiplicity 2)
K 0.2500 0.2500 0.0000 (multiplicity 4)
Na 0.0000 0.5000 0.5000 (multiplicity 2)
Na 0.2500 0.2500 0.5000 (multiplicity 4)
Ca 0.0000 0.0000 0.5000 (multiplicity 2)
Cl 0.0087 0.2380 0.2885 (multiplicity 8)
Cl 0.2291 0.0000 0.7115 (multiplicity 4)
Cl 0.2407 0.5000 0.7216 (multiplicity 4)

=====

# 4
Entry from the Alexandria database: a relaxed La2SnHRu crystal (PBE).

E in hartree per atom: -0.2096

Unit cell a=5.2010 b=5.2010 c=3.9906 alpha=90.00 beta=90.00 gamma=90.00
Space group P4/mmm (No. 123)
Symmetry-distinct sites (fractional):
La 0.0000 0.5000 0.0000 (multiplicity 2)
Sn 0.0000 0.0000 0.5000 (multiplicity 1)
H 0.5000 0.5000 0.0000 (multiplicity 1)
Ru 0.5000 0.5000 0.5000 (multiplicity 1)

=====

# 5
Entry from the Alexandria database: a relaxed PmZn7Cu5 crystal (PBE).

Formation energy from the elements in eV per atom: -0.184

Unit cell a=4.9618 b=8.8875 c=8.7906 alpha=90.00 beta=90.00 gamma=90.00
Space group Imm2 (No. 44)
Symmetry-distinct sites (fractional):
Pm 0.0000 0.0000 0.0000 (multiplicity 2)
Zn 0.0000 0.0000 0.3526 (multiplicity 2)
Zn 0.0000 0.0000 0.6546 (multiplicity 2)
Zn 0.0000 0.2842 0.5054 (multiplicity 4)
Zn 0.0000 0.3508 0.0115 (multiplicity 4)
Zn 0.0000 0.5000 0.7293 (multiplicity 2)
Cu 0.0000 0.5000 0.2820 (multiplicity 2)
Cu 0.2501 0.2503 0.2574 (multiplicity 8)

=====

# 6
Entry from the Alexandria database: a relaxed CaTe2ICl crystal (PBE).

Excess energy over the best structure of this formula in the dataset in meV/atom: 96.5
Formation energy without anion corrections in eV per atom: -0.090

Unit cell a=6.2497 b=6.2497 c=5.8743 alpha=90.00 beta=90.00 gamma=90.00
Space group P4/mmm (No. 123)
Symmetry-distinct sites (fractional):
Ca 0.0000 0.0000 0.0000 (multiplicity 1)
Te 0.0000 0.5000 0.0000 (multiplicity 2)
I 0.0000 0.0000 0.5000 (multiplicity 1)
Cl 0.5000 0.5000 0.5000 (multiplicity 1)

=====

# 7
Entry from the Alexandria database: a relaxed RbTbS4 crystal (PBE).

Formation energy without anion corrections in eV per atom: -1.214

Unit cell a=5.9797 b=5.9797 c=8.3332 alpha=90.00 beta=90.00 gamma=90.00
Space group P4/nbm (No. 125, origin choice 2)
Symmetry-distinct sites (fractional):
Rb 0.2500 0.2500 0.0000 (multiplicity 2)
Tb 0.2500 0.2500 0.5000 (multiplicity 2)
S 0.1250 0.6250 0.3041 (multiplicity 8)

=====

# 8
Entry from the Alexandria database: a relaxed NiIr2Os2Rh2 crystal (PBE).

Formation energy from the elements in eV per atom: 0.204

Unit cell a=10.1880 b=4.3820 c=4.6775 alpha=90.00 beta=103.67 gamma=90.00
Space group C2/m (No. 12)
Symmetry-distinct sites (fractional):
Ni 0.0000 0.0000 0.0000 (multiplicity 2)
Ir 0.1272 0.0000 0.5990 (multiplicity 4)
Os 0.2481 0.5000 0.8411 (multiplicity 4)
Rh 0.0949 0.5000 0.2556 (multiplicity 4)

=====

# 9
Entry from the Alexandria database: a relaxed RbBC3 crystal (PBE).

Excess energy over the best structure of this formula in the dataset in meV/atom: 2204.5
Formation energy from the elements in eV per atom: 5.059

Unit cell a=5.7704 b=5.7704 c=5.7704 alpha=90.00 beta=90.00 gamma=90.00
Space group Pm-3m (No. 221)
Symmetry-distinct sites (fractional):
Rb 0.0000 0.0000 0.0000 (multiplicity 1)
B 0.5000 0.5000 0.5000 (multiplicity 1)
C 0.0000 0.0000 0.5000 (multiplicity 3)

=====

# 10
Entry from the Alexandria database: a relaxed AlTl2C crystal (PBE).

Excess energy over the best structure of this formula in the dataset in meV/atom: 0.0
Formation energy from the elements in eV per atom: 1.198

Unit cell a=6.3413 b=6.3413 c=9.8327 alpha=90.00 beta=90.00 gamma=90.00
Space group I-42d (No. 122)
Symmetry-distinct sites (fractional):
Al 0.0000 0.0000 0.0000 (multiplicity 4)
Tl 0.1743 0.2500 0.6250 (multiplicity 8)
C 0.0000 0.0000 0.5000 (multiplicity 4)

=====

# 11
Entry from the Alexandria database: a relaxed ReAs2Pt crystal (PBE).

Excess energy over the best structure of this formula in the dataset in meV/atom: 57.1
Formation energy from the elements in eV per atom: 0.151

Unit cell a=8.9439 b=3.2865 c=4.5619 alpha=90.00 beta=104.53 gamma=90.00
Space group Cm (No. 8)
Symmetry-distinct sites (fractional):
Re 0.0000 0.0000 0.0000 (multiplicity 2)
As 0.0113 0.5000 0.4544 (multiplicity 2)
As 0.2735 0.0000 0.8751 (multiplicity 2)
Pt 0.2743 0.5000 0.3745 (multiplicity 2)